[1]
Rb2Bi2N | GGA-PBE | optimized geometry

## Properties
As for the uncorrected formation energy: 386 meV per atom. For the energy above the most stable polymorph in this dataset, the calculation gives 0 kJ/mol of formula units.

```
Rb2Bi2N
1.0
7.519 0.000 0.000
0.000 7.519 0.000
0.000 0.000 7.524
Rb Bi N
4 4 2
Cartesian
0.000 3.760 1.881
0.000 3.760 5.643
3.760 0.000 1.881
3.760 0.000 5.643
0.000 0.000 1.644
0.000 0.000 5.880
3.760 3.760 2.118
3.760 3.760 5.406
0.000 0.000 3.762
3.760 3.760 0.000
```

***

[2]
La2Dy3YSe6 | GGA-PBE | optimized geometry

## Properties
As for the uncorrected formation energy: -1834 meV per atom.

```
La2Dy3YSe6
1.0
9.075 -2.062 0.000
9.075 2.062 0.000
-2.027 0.000 8.144
La Dy Y Se
2 3 1 6
Cartesian
2.347 0.000 2.718
13.777 0.000 5.426
1.384 0.000 6.792
8.062 0.000 4.072
14.740 0.000 1.353
9.075 0.000 0.000
-1.427 0.000 6.124
4.188 0.000 7.575
5.307 0.000 3.308
10.816 0.000 4.836
11.936 0.000 0.569
17.551 0.000 2.020
```

***

[3]
NaAg3S | GGA-PBE | optimized geometry

## Properties
As for the uncorrected formation energy: 191 meV per atom. For the energy above the most stable polymorph in this dataset, the calculation gives 0 kJ/mol of formula units.

```
NaAg3S
1.0
4.986 0.000 0.000
0.000 4.986 0.000
0.000 0.000 4.986
Na Ag S
1 3 1
Cartesian
0.000 0.000 0.000
0.000 2.493 2.493
2.493 0.000 2.493
2.493 2.493 0.000
2.493 2.493 2.493
```

***

[4]
Pm4PS2Br | GGA-PBE | optimized geometry

## Properties
As for the uncorrected formation energy: -1734 meV per atom.

```
Pm4PS2Br
1.0
7.088 0.000 0.000
0.000 4.101 0.000
-2.381 0.000 6.814
Pm P S Br
4 1 2 1
Cartesian
1.067 0.000 1.471
-0.125 2.051 5.265
4.832 2.051 1.549
3.640 0.000 5.343
3.544 0.000 0.000
-1.190 0.000 3.407
0.000 2.051 0.000
2.354 2.051 3.407
```

***

[5]
BaTa2F | GGA-PBE | optimized geometry

## Properties
As for the uncorrected formation energy: 1336 meV per atom. For the energy above the most stable polymorph in this dataset, the calculation gives 306 kJ/mol of formula units.

```
BaTa2F
1.0
6.826 0.000 0.000
0.000 6.826 0.000
0.000 0.000 6.826
Ba Ta F
4 8 4
Cartesian
0.000 0.000 0.000
0.000 3.413 3.413
3.413 0.000 3.413
3.413 3.413 0.000
1.707 1.707 1.707
1.707 1.707 5.120
1.707 5.120 1.707
1.707 5.120 5.120
5.120 1.707 1.707
5.120 1.707 5.120
5.120 5.120 1.707
5.120 5.120 5.120
0.000 0.000 3.413
0.000 3.413 0.000
3.413 0.000 0.000
3.413 3.413 3.413
```

***

[6]
LiCaZrRh | GGA-PBE | optimized geometry

## Properties
Its calculated formation energy is -0.2022 eV/atom.

```
LiCaZrRh
1.0
6.791 0.000 0.000
0.000 6.791 0.000
0.000 0.000 6.791
Li Ca Zr Rh
4 4 4 4
Cartesian
0.000 0.000 0.000
0.000 3.395 3.395
3.395 0.000 3.395
3.395 3.395 0.000
1.698 1.698 1.698
1.698 5.093 5.093
5.093 1.698 5.093
5.093 5.093 1.698
1.698 1.698 5.093
1.698 5.093 1.698
5.093 1.698 1.698
5.093 5.093 5.093
0.000 0.000 3.395
0.000 3.395 0.000
3.395 0.000 0.000
3.395 3.395 3.395
```

***

Calculated magnetization, 0.00; 0.00; 0.00; 0.00; 0.00; 0.00 Bohr magnetons per cell (same order as the records).
Calculated calculated volume, 42.543; 25.404; 24.786; 24.761; 19.882; 19.574 A^3/atom (same order as the records).